A plane-wave DFT calculation with PBE with a Hubbard U was carried out for a relaxed CoPbWO5 crystal.

The value obtained for the electronic total energy is -6.6960 eV per atom. The total moment comes out at 3.0 μB per formula unit.

Geometry as CIF:
```
data_CoPbWO5
_cell_length_a 7.0907
_cell_length_b 9.5423
_cell_length_c 7.6233
_cell_angle_alpha 90.00
_cell_angle_beta 115.24
_cell_angle_gamma 90.00
_space_group_name_H-M_alt 'C 1 2/c 1'
_space_group_IT_number 15
loop_
_space_group_symop_operation_xyz
'x,y,z'
'-x,-y,-z'
'-x,y,-z+1/2'
'x,-y,z+1/2'
'x+1/2,y+1/2,z'
'-x+1/2,-y+1/2,-z'
'-x+1/2,y+1/2,-z+1/2'
'x+1/2,-y+1/2,z+1/2'
loop_
_atom_site_label
_atom_site_type_symbol
_atom_site_fract_x
_atom_site_fract_y
_atom_site_fract_z
_atom_site_occupancy
Co1 Co 0.0000 0.1876 0.2500 1
Pb1 Pb 0.0000 0.1698 0.7500 1
W1 W 0.0000 0.5000 0.0000 1
O1 O 0.0000 0.4486 0.7500 1
O2 O 0.0846 0.3069 0.0861 1
O3 O 0.2096 0.0499 0.4036 1
```